The following is a PBE calculation of an optimized crystal structure of NaHgS4, from Alexandria.

Geometry as POSCAR:
```
NaHgS4
1.0
6.9137 1.6232 -4.1540
-0.7688 6.1044 -3.9163
-1.2551 -0.9685 8.1913
Na Hg S
2 2 8
Cartesian
1.7856 4.1614 -1.9869
3.1043 2.5977 2.1080
-0.7582 4.8044 2.1782
5.6481 1.9547 -2.0572
0.2126 1.9239 -0.9620
4.4946 4.8098 -0.9329
2.7213 5.3837 -4.4692
0.4800 5.7487 0.1685
4.4099 1.0104 -0.0475
2.1686 1.3754 4.5903
0.3953 1.9493 1.0539
4.6773 4.8352 1.0830
```

Computed properties:
space group = C2/c (15)
total magnetic moment = 0.00 μB per atom
formation energy from raw total energies = -0.2179 eV/atom
final energy = -3.2397 eV per atom
density = 3.86 g cm⁻³

=====

The following is a PBE calculation of an optimized crystal structure of NaHg2S2, from Alexandria.

Geometry as POSCAR:
```
NaHg2S2
1.0
-4.1528 -5.6382 -0.7076
5.3152 -3.6561 -2.8139
0.8080 2.9982 6.4537
Na Hg S
2 4 4
Cartesian
4.3328 -3.1545 -0.9370
-2.3624 -3.1416 3.8691
0.1023 -4.7384 1.7873
-0.0827 -0.5516 4.8955
2.0531 -5.7445 -1.9634
1.8680 -1.5577 1.1448
1.6890 -3.7080 -0.3488
-2.4897 -4.5828 0.5807
4.4600 -1.7133 2.3514
0.2814 -2.5881 3.2810
```

Computed properties:
space group = C2/c (15)
total magnetic moment = 0.00 μB per atom
formation energy from raw total energies = -0.2461 eV/atom
final energy = -2.2816 eV per atom
density = 6.34 g cm⁻³

=====

The following is a PBE calculation of an optimized crystal structure of NaHg3S3, from Alexandria.

Geometry as POSCAR:
```
NaHg3S3
1.0
7.7596 0.0000 0.0000
3.8798 6.7200 0.0000
3.8798 2.2400 7.0229
Na Hg S
2 6 6
Cartesian
3.8798 2.2400 0.0303
11.6394 6.7200 6.9925
8.8359 6.9390 4.9263
9.3510 2.3184 4.9263
5.0919 4.1826 4.9263
10.4273 4.7774 2.0966
6.1682 6.6416 2.0966
6.6833 2.0210 2.0966
5.1934 4.2941 1.8331
9.2037 2.3506 1.8331
8.8817 6.7953 1.8331
6.6375 2.1647 5.1897
6.3155 6.6095 5.1897
10.3258 4.6659 5.1897
```

Computed properties:
space group = R-3 (148)
total magnetic moment = 0.00 μB per atom
formation energy from raw total energies = -0.2133 eV/atom
final energy = -2.3000 eV per atom
density = 6.54 g cm⁻³

=====

The following is a PBE calculation of an optimized crystal structure of NaHg2S2, from Alexandria.

Geometry as POSCAR:
```
NaHg2S2
1.0
-2.0708 0.5038 -3.5441
-3.5727 -0.0338 2.0827
-2.4259 7.4646 0.0657
Na S Hg
1 2 2
Cartesian
0.0000 0.0000 0.0000
-2.7651 1.2696 -0.6168
-5.3043 6.6651 -0.7790
-3.6593 4.1017 -2.1046
-4.4102 3.8329 0.7089
```

Computed properties:
space group = I4/mmm (139)
total magnetic moment = 0.00 μB per atom
formation energy from raw total energies = -0.2340 eV/atom
final energy = -2.2695 eV per atom
density = 6.51 g cm⁻³

=====

The following is a PBE calculation of an optimized crystal structure of NaHg2S, from Alexandria.

Geometry as POSCAR:
```
NaHg2S
1.0
-8.5554 -1.8181 2.0863
1.6434 -8.7921 -0.9228
-2.8013 -5.4511 3.1392
Na S Hg
2 2 4
Cartesian
-3.4560 -5.3051 0.5817
-2.3070 -9.7741 1.3991
0.0000 0.0000 0.0000
-7.4064 -6.2872 2.9036
-6.4142 -3.7197 2.1129
-0.1705 -6.9635 0.3293
-4.8029 -7.4792 2.8524
-8.0391 -13.9602 3.3107
```

Computed properties:
space group = I-42d (122)
total magnetic moment = 0.00 μB per atom
formation energy from raw total energies = -0.2784 eV/atom
final energy = -1.7909 eV per atom
density = 7.09 g cm⁻³

=====

The following is a PBE calculation of an optimized crystal structure of NaHg3S, from Alexandria.

Geometry as POSCAR:
```
NaHg3S
1.0
5.4451 0.0000 0.0000
0.0000 5.4451 0.0000
0.0000 0.0000 5.4451
Na S Hg
1 1 3
Cartesian
2.7225 2.7225 2.7225
0.0000 0.0000 0.0000
0.0000 2.7225 0.0000
0.0000 0.0000 2.7225
2.7225 0.0000 0.0000
```

Computed properties:
space group = Pm-3m (221)
total magnetic moment = 0.00 μB per atom
formation energy from raw total energies = 0.1653 eV/atom
final energy = -1.1050 eV per atom
density = 6.76 g cm⁻³

=====

The following is a PBE calculation of an optimized crystal structure of NaHgSbS3, from Alexandria.

Geometry as POSCAR:
```
NaHgSbS3
1.0
-2.0305 -3.3352 -0.4221
5.5469 -3.7810 3.1930
-4.5514 1.6002 9.2512
Na Hg Sb S
2 2 2 6
Cartesian
-0.9961 -0.8430 2.3173
-0.0389 -4.6730 9.7048
-1.3683 -1.0649 5.8613
0.3334 -4.4512 6.1608
1.8848 -2.7027 3.1532
-2.9197 -2.8134 8.8690
1.9020 -5.1740 4.3267
-2.9369 -0.3420 7.6955
0.5677 -2.4831 7.7544
-1.6026 -3.0330 4.2678
-0.0308 -3.6110 1.2737
-1.0041 -1.9050 10.7484
```

Computed properties:
space group = P2_1/m (11)
total magnetic moment = 0.00 μB per atom
formation energy from raw total energies = -0.4293 eV/atom
final energy = -3.4502 eV per atom
density = 4.82 g cm⁻³

=====

The following is a PBE calculation of an optimized crystal structure of Na2Hg2Se2S, from Alexandria.

Geometry as POSCAR:
```
Na2Hg2Se2S
1.0
4.2908 0.6211 0.1749
3.1970 7.2645 1.3878
0.6978 3.1094 7.4181
Na Hg Se S
2 2 2 1
Cartesian
6.2177 9.8794 7.2586
1.9679 1.1155 1.7221
4.9346 5.8466 6.1336
3.2510 5.1483 2.8472
1.3022 3.4803 3.3163
6.8834 7.5147 5.6644
0.0000 0.0000 0.0000
```

Computed properties:
space group = P-1 (2)
total magnetic moment = 0.00 μB per atom
formation energy from raw total energies = -0.5506 eV/atom
final energy = -2.5989 eV per atom
density = 5.31 g cm⁻³

=====

The following is a PBE calculation of an optimized crystal structure of NaHg2SeS, from Alexandria.

Geometry as POSCAR:
```
NaHg2SeS
1.0
-1.9744 -4.1588 2.6418
2.5553 -3.3117 -3.3038
4.2191 0.0427 3.2204
Na S Hg Se
1 1 2 1
Cartesian
1.2776 -1.6559 -1.6519
2.4000 -3.7139 1.2792
2.1095 0.0213 1.6102
-0.9872 -2.0794 1.3209
0.0000 0.0000 0.0000
```

Computed properties:
space group = P4/mmm (123)
total magnetic moment = 0.00 μB per atom
formation energy from raw total energies = 0.0144 eV/atom
final energy = -1.8925 eV per atom
density = 5.92 g cm⁻³

=====

The following is a PBE calculation of an optimized crystal structure of Na2SiHgS4, from Alexandria.

Geometry as POSCAR:
```
Na2SiHgS4
1.0
6.7649 0.0000 0.0000
0.0000 7.6443 0.0000
0.0000 0.0000 7.8176
Na Si Hg S
4 2 2 8
Cartesian
3.3773 2.5256 2.0071
3.3773 2.5256 5.8105
6.7597 5.1187 5.9159
6.7597 5.1187 1.9017
3.3689 6.3815 3.9088
6.7513 1.2628 0.0000
6.7409 1.0199 3.9088
3.3584 6.6244 0.0000
2.1232 1.2225 0.0000
5.5056 6.4218 3.9088
2.5830 0.7170 3.9088
5.9654 6.9273 0.0000
2.7443 5.2434 5.6335
6.1268 2.4008 1.7247
6.1268 2.4008 6.0929
2.7443 5.2434 2.1841
```

Computed properties:
space group = Pmn2_1 (31)
total magnetic moment = 0.00 μB per atom
formation energy from raw total energies = -0.7740 eV/atom
final energy = -3.8831 eV per atom
density = 3.31 g cm⁻³

=====

The following is a PBE calculation of an optimized crystal structure of Na2SnHgS4, from Alexandria.

Geometry as POSCAR:
```
Na2SnHgS4
1.0
-4.1530 4.7486 -2.9362
-5.6763 -1.8076 5.1052
2.8451 5.6900 5.1782
Na Sn Hg S
4 2 2 8
Cartesian
-3.2400 3.2182 1.5534
-1.8441 6.0098 4.0938
-5.7884 7.8342 4.3782
-7.2377 4.9358 1.7405
-5.4261 3.6897 5.4238
-5.0436 4.4551 -2.1244
-3.5101 7.2927 0.4120
-6.9011 0.7852 2.9289
-2.3224 1.3629 -0.2215
-6.8842 5.3377 4.4141
-0.8217 4.3649 2.1521
-8.5656 2.5424 1.9126
-3.4077 4.8704 6.1233
-4.8734 5.0472 0.2373
-3.3883 8.0172 2.9401
-4.7678 2.1503 3.6479
```

Computed properties:
space group = Pmn2_1 (31)
total magnetic moment = 0.00 μB per atom
formation energy from raw total energies = -0.6583 eV/atom
final energy = -3.5899 eV per atom
density = 3.66 g cm⁻³

=====

The following is a PBE calculation of an optimized crystal structure of NaSnHg2S4, from Alexandria.

Geometry as POSCAR:
```
NaSnHg2S4
1.0
-0.6503 -3.6854 -5.6226
6.1044 -4.2761 2.0969
-5.2846 -5.4821 4.2046
Na Sn Hg S
2 2 4 8
Cartesian
-2.3047 -7.0692 -3.1167
4.8069 -5.3884 -0.9842
2.0546 -8.0722 1.0545
0.4413 -4.4206 -5.2091
0.3564 -4.6372 -0.9670
-2.2080 -7.2975 1.0733
-0.5753 -10.6470 -0.9767
2.1449 -7.8251 -3.1410
0.9098 -2.1510 -1.6611
1.7518 -9.4033 -1.0615
-1.9747 -4.8901 0.1394
4.5836 -6.9626 -3.3173
-0.1123 -8.2548 2.3004
0.2773 -6.0063 -3.2752
-2.5360 -8.9247 -1.0369
2.3590 -5.6912 0.3342
```

Computed properties:
space group = Pmn2_1 (31)
total magnetic moment = 0.00 μB per atom
formation energy from raw total energies = -0.3672 eV/atom
final energy = -3.1716 eV per atom
density = 4.90 g cm⁻³